(1)
First-principles (PBE) data for a relaxed DyHo3Tl3 crystal, as listed in Alexandria via LeMat-Bulk.

Structure (POSCAR):
```
DyHo3Tl3
1.0
9.3638 0.0000 0.0000
-4.6819 8.1093 0.0000
0.0000 0.0000 5.2233
Dy Ho Tl
2 6 6
direct
0.3333 0.6667 0.2500 Dy
0.6667 0.3333 0.7500 Dy
0.0029 0.2336 0.2500 Ho
0.2307 0.9971 0.2500 Ho
0.2336 0.2307 0.7500 Ho
0.7664 0.7693 0.2500 Ho
0.7693 0.0029 0.7500 Ho
0.9971 0.7664 0.7500 Ho
0.0729 0.4502 0.7500 Tl
0.3773 0.9271 0.7500 Tl
0.4502 0.3773 0.2500 Tl
0.5498 0.6227 0.7500 Tl
0.6227 0.0729 0.2500 Tl
0.9271 0.5498 0.2500 Tl
```

Calculated values
Electronic total energy   -26.93 eV per formula unit
E above lowest polymorph   0.18 eV per formula unit
M_tot   0.000 μB/atom
Mass density   10.6 g/cm³
Symmetry   P6_3/m, No. 176



(2)
First-principles (PBE) data for a relaxed Dy3Ho7Tl2 crystal, as listed in Alexandria via LeMat-Bulk.

Structure (POSCAR):
```
Dy3Ho7Tl2
1.0
5.5975 0.0000 0.0000
0.0000 3.5912 0.0000
-1.1193 0.0000 18.2706
Dy Ho Tl
3 7 2
direct
0.0000 0.0000 0.0000 Dy
0.2757 0.5000 0.6326 Dy
0.7243 0.5000 0.3674 Dy
0.1675 0.5000 0.1480 Ho
0.2417 0.0000 0.4588 Ho
0.3304 0.0000 0.8295 Ho
0.5000 0.5000 0.0000 Ho
0.6696 0.0000 0.1705 Ho
0.7583 0.0000 0.5412 Ho
0.8325 0.5000 0.8520 Ho
0.2052 0.0000 0.2921 Tl
0.7948 0.0000 0.7079 Tl
```

Calculated values
Electronic total energy   -50.80 eV per formula unit
M_tot   0.000 μB/atom
Mass density   9.3 g/cm³
Symmetry   P2/m, No. 10



(3)
First-principles (PBE) data for a relaxed DyHo4Tl2 crystal, as listed in Alexandria via LeMat-Bulk.

Structure (POSCAR):
```
DyHo4Tl2
1.0
3.4221 -5.9477 0.0000
3.4221 5.9477 0.0000
0.0000 0.0000 10.5946
Dy Ho Tl
2 8 4
direct
0.0000 0.0000 0.0000 Dy
0.5000 0.5000 0.5000 Dy
0.0468 0.9532 0.6701 Ho
0.0578 0.4422 0.7500 Ho
0.4422 0.0578 0.2500 Ho
0.4532 0.5468 0.1701 Ho
0.5468 0.4532 0.8299 Ho
0.5578 0.9422 0.7500 Ho
0.9422 0.5578 0.2500 Ho
0.9532 0.0468 0.3299 Ho
0.2400 0.7600 0.4834 Tl
0.2600 0.7400 0.9834 Tl
0.7400 0.2600 0.0166 Tl
0.7600 0.2400 0.5166 Tl
```

Calculated values
Electronic total energy   -28.17 eV per formula unit
E above lowest polymorph   0.00 eV per formula unit
M_tot   0.000 μB/atom
Mass density   9.5 g/cm³
Symmetry   Cmce, No. 64



(4)
First-principles (PBE) data for a relaxed Dy7Ho3Tl2 crystal, as listed in Alexandria via LeMat-Bulk.

Structure (POSCAR):
```
Dy7Ho3Tl2
1.0
5.5981 0.0000 0.0000
0.0000 3.5980 0.0000
-1.1716 0.0000 18.3155
Dy Ho Tl
7 3 2
direct
0.0000 0.0000 0.0000 Dy
0.1671 0.5000 0.1716 Dy
0.2584 0.5000 0.5409 Dy
0.3353 0.0000 0.8523 Dy
0.6647 0.0000 0.1477 Dy
0.7416 0.5000 0.4591 Dy
0.8329 0.5000 0.8284 Dy
0.2230 0.0000 0.3674 Ho
0.5000 0.5000 0.0000 Ho
0.7770 0.0000 0.6326 Ho
0.2975 0.5000 0.7076 Tl
0.7025 0.5000 0.2924 Tl
```

Calculated values
Electronic total energy   -50.87 eV per formula unit
M_tot   0.000 μB/atom
Mass density   9.2 g/cm³
Symmetry   P2/m, No. 10



Energy relative to the elements, record by record: -0.2141; -0.0184; -0.0749; -0.0159 eV/atom